# CoSnSeO

An optimized crystal structure of CoSnSeO (PBE+U, OQMD).

Output
E above lowest polymorph = 0.064 eV per atom
Crystal system = hexagonal
M_tot = 6.00 μB/cell
Symmetry = P6_3mc (186)

Unit cell a=3.880 b=3.880 c=12.072 alpha=90.00 beta=90.00 gamma=120.00
Fractional coordinates of all 8 atoms:
Co  0.000  0.000  0.000
Co  0.000  0.000  0.500
Sn  0.333  0.667  0.273
Sn  0.667  0.333  0.773
Se  0.333  0.667  0.580
Se  0.667  0.333  0.080
O  0.000  0.000  0.341
O  0.000  0.000  0.841